Record 1
A plane-wave DFT calculation with PBE-GGA was carried out for a relaxed structure of SmEr3Ga2.

a b c (Å): 5.072 9.084 8.818
angles (deg): 124.36 90.00 106.21
Fractional positions:
Er: 0.312 0.625 0.615
Ga: 0.774 0.549 0.163
Ga: 0.226 0.451 0.837
Sm: 0.130 0.260 0.072
Er: 0.937 0.874 0.591
Sm: 0.870 0.740 0.928
Er: 0.621 0.241 0.730
Ga: 0.514 0.027 0.876
Er: 0.688 0.375 0.385
Er: 0.063 0.126 0.409
Ga: 0.486 0.973 0.124
Er: 0.379 0.759 0.270

## Properties
Mass density, kg/m³: 8329
Total magnetic moment, μB per cell: 0.0
ΔH_f (0 K), eV/atom: -0.33

Record 2
A plane-wave DFT calculation with PBE-GGA was carried out for a relaxed structure of SmErGa4.

a b c (Å): 4.231 5.913 5.913
angles (deg): 88.77 69.04 69.04
Fractional positions:
Sm: 0.000 0.000 0.500
Er: 0.000 0.500 0.000
Ga: 0.333 0.915 0.918
Ga: 0.333 0.418 0.416
Ga: 0.667 0.582 0.584
Ga: 0.667 0.085 0.082

## Properties
Mass density, kg/m³: 7737
Total magnetic moment, μB per cell: 0.0
ΔH_f (0 K), eV/atom: -0.65

Record 3
A plane-wave DFT calculation with PBE-GGA was carried out for a relaxed structure of SmEr5Ga6.

a b c (Å): 5.030 7.106 7.952
angles (deg): 90.00 71.64 90.00
Fractional positions:
Er: 0.668 0.000 0.665
Ga: 0.500 0.254 0.000
Ga: 0.169 0.746 0.662
Ga: 0.500 0.746 0.000
Sm: 0.000 0.000 0.000
Ga: 0.169 0.254 0.662
Er: 0.332 0.000 0.335
Ga: 0.831 0.254 0.338
Er: 0.665 0.500 0.671
Ga: 0.831 0.746 0.338
Er: 0.000 0.500 0.000
Er: 0.335 0.500 0.329

## Properties
Mass density, kg/m³: 8648
Total magnetic moment, μB per cell: 0.0
ΔH_f (0 K), eV/atom: -0.57

Record 4
A plane-wave DFT calculation with PBE-GGA was carried out for a relaxed structure of Sm3ErGa.

a b c (Å): 7.513 7.513 7.513
angles (deg): 105.54 117.60 105.59
Fractional positions:
Sm: 0.724 0.442 0.166
Ga: 0.375 0.246 0.621
Sm: 0.224 0.416 0.260
Ga: 0.625 0.754 0.379
Er: 0.701 0.063 0.764
Er: 0.299 0.937 0.236
Sm: 0.156 0.964 0.740
Sm: 0.276 0.558 0.834
Sm: 0.844 0.036 0.260
Sm: 0.776 0.584 0.740

## Properties
Mass density, kg/m³: 7109
Total magnetic moment, μB per cell: 0.0
ΔH_f (0 K), eV/atom: -0.06